## one
CuSn3Se PBE optimized geometry; SG = No. 221
1.0
5.536 0.000 0.000
0.000 5.536 0.000
0.000 0.000 5.536
Cu Sn Se
1 3 1
Direct
0.000 0.000 0.000
0.000 0.500 0.500
0.500 0.000 0.500
0.500 0.500 0.000
0.500 0.500 0.500



## two
CuSn3Se PBE optimized geometry; SG = No. 221
1.0
5.097 0.000 0.000
0.000 5.097 0.000
0.000 0.000 5.097
Cu Sn Se
1 3 1
Direct
0.000 0.000 0.000
0.000 0.000 0.500
0.000 0.500 0.000
0.500 0.000 0.000
0.500 0.500 0.500



Energies relative to the most stable structure, in meV per atom: one 553; two 0.